Entry from Alexandria: a geometry-optimized Ac8Co3Cu2 structure (PBE).

Calculated formation energy (eV/atom): -0.013
V (Å³/atom): 34.021

Structure (POSCAR):
```
Ac8Co3Cu2
1.0
7.087 -4.263 0.000
7.087 4.263 0.000
-0.004 0.000 7.319
Ac Co Cu
8 3 2
Direct
0.109 0.109 0.169
0.130 0.642 0.330
0.358 0.870 0.670
0.387 0.387 0.843
0.613 0.613 0.157
0.642 0.130 0.330
0.870 0.358 0.670
0.891 0.891 0.831
0.000 0.000 0.500
0.258 0.742 0.000
0.742 0.258 0.000
0.252 0.252 0.501
0.748 0.748 0.499
```